## Ca2LaPaS6 (PBE)

Data for a relaxed structure of Ca2LaPaS6.

```
Ca2LaPaS6
1.0
3.545 2.047 6.261
-3.545 2.047 6.261
0.000 -4.094 6.261
Ca La Pa S
2 1 1 6
direct
0.000 0.000 0.000
0.492 0.492 0.492
0.204 0.204 0.204
0.695 0.695 0.695
0.068 0.426 0.807
0.316 0.891 0.605
0.426 0.807 0.068
0.605 0.316 0.891
0.807 0.068 0.426
0.891 0.605 0.316
```

Properties
Formation energy from raw total energies = -1919 meV/atom
Mass density = 3.91 g/cm3
VASP energy = -6.238 eV/atom